# PmTmNiPt

A geometry-optimized PmTmNiPt structure (GGA-PBE, the Alexandria database).

abc: 4.9099 4.9099 4.9099
angles: 60.00 60.00 60.00
Closest atoms and distances in Å follow each position.
Positions (direct):
Pm1 0.2500 0.2500 0.2500  4 Pt 3.01, 4 Ni 3.01
Pt1 0.5000 0.5000 0.5000  4 Tm 3.01, 4 Pm 3.01
Tm1 0.7500 0.7500 0.7500  4 Pt 3.01, 4 Ni 3.01
Ni1 0.0000 0.0000 0.0000  4 Pm 3.01, 4 Tm 3.01

The value obtained for the energy above the lowest structure with this stoichiometry is 76 meV per atom. The calculation puts the total DFT energy (no corrections) at -6.0157 eV per atom.